(1)
PaNb2Hg after structural relaxation. Source: Alexandria via LeMat-Bulk, functional PBE-GGA.

Unit cell a=4.7010 b=4.7010 c=3.6801 alpha=90.00 beta=90.00 gamma=90.00
Space group P4/mmm (No. 123)
Inequivalent atoms, fractional coordinates:
1 Pa 0.0000 0.0000 0.0000 [1 per cell]
2 Nb 0.0000 0.5000 0.5000 [2 per cell]
3 Hg 0.5000 0.5000 0.0000 [1 per cell]

ΔH_f (0 K) in eV/atom: 0.15
Volume in Å³ per cell: 81

***

(2)
PaNb2Hg2S6 after structural relaxation. Source: Alexandria via LeMat-Bulk, functional PBE-GGA.

Unit cell a=5.9094 b=11.2608 c=9.6635 alpha=90.00 beta=105.89 gamma=90.00
Space group C2/m (No. 12)
Inequivalent atoms, fractional coordinates:
1 Pa 0.0000 0.0000 0.0000 [2 per cell]
2 Nb 0.0000 0.3184 0.0000 [4 per cell]
3 Hg 0.0000 0.2495 0.5000 [4 per cell]
4 S 0.0662 0.5000 0.8434 [4 per cell]
5 S 0.0863 0.1745 0.8330 [8 per cell]

Formation energy from raw total energies in eV/f.u.: -10.3
Volume in Å³ per cell: 618

***

(3)
Nb2Hg2Pb after structural relaxation. Source: Alexandria via LeMat-Bulk, functional PBE-GGA.

Unit cell a=5.4803 b=5.4803 c=5.6845 alpha=90.00 beta=90.00 gamma=90.00
Space group P4/mmm (No. 123)
Inequivalent atoms, fractional coordinates:
1 Nb 0.0000 0.5000 0.0000 [2 per cell]
2 Hg 0.0000 0.0000 0.5000 [1 per cell]
3 Hg 0.5000 0.5000 0.5000 [1 per cell]
4 Pb 0.0000 0.0000 0.0000 [1 per cell]

ΔH_f (0 K) in eV/atom: 1.65
Volume in Å³ per cell: 171

***

(4)
Nb3HgPb after structural relaxation. Source: Alexandria via LeMat-Bulk, functional PBE-GGA.

Unit cell a=5.1453 b=5.1453 c=5.1453 alpha=90.00 beta=90.00 gamma=90.00
Space group Pm-3m (No. 221)
Inequivalent atoms, fractional coordinates:
1 Nb 0.0000 0.0000 0.5000 [3 per cell]
2 Hg 0.5000 0.5000 0.5000 [1 per cell]
3 Pb 0.0000 0.0000 0.0000 [1 per cell]

Energy relative to the lowest polymorph listed for this composition in eV/atom: 0.226
ΔH_f (0 K) in eV/atom: 1.89
Volume in Å³ per cell: 136

***

(5)
NbHgPb3 after structural relaxation. Source: Alexandria via LeMat-Bulk, functional PBE-GGA.

Unit cell a=5.6365 b=5.6365 c=5.6365 alpha=90.00 beta=90.00 gamma=90.00
Space group Pm-3m (No. 221)
Inequivalent atoms, fractional coordinates:
1 Nb 0.0000 0.0000 0.0000 [1 per cell]
2 Hg 0.5000 0.5000 0.5000 [1 per cell]
3 Pb 0.0000 0.5000 0.5000 [3 per cell]

Energy relative to the lowest polymorph listed for this composition in eV/atom: 0.861
ΔH_f (0 K) in eV/atom: 1.19
Volume in Å³ per cell: 179

***

(6)
NbHgPb3 after structural relaxation. Source: Alexandria via LeMat-Bulk, functional PBE-GGA.

Unit cell a=5.5393 b=5.5393 c=5.5393 alpha=90.00 beta=90.00 gamma=90.00
Space group Pm-3m (No. 221)
Inequivalent atoms, fractional coordinates:
1 Nb 0.0000 0.0000 0.0000 [1 per cell]
2 Hg 0.5000 0.5000 0.5000 [1 per cell]
3 Pb 0.0000 0.0000 0.5000 [3 per cell]

Energy relative to the lowest polymorph listed for this composition in eV/atom: 0.000
ΔH_f (0 K) in eV/atom: 0.33
Volume in Å³ per cell: 170